Here is a relaxed Rb5CdSeO2 crystal from the Alexandria database. Energies are from PBE.

Results
Formation energy without anion corrections, eV/atom: -0.950
Magnetic moment, μB per cell: 0.55
Density of states at the Fermi level, states/eV/cell: 2.1
Mass density, Mg/m³: 3.40

a b c (Å): 5.6819 5.6819 9.8485
angles (deg): 90.00 90.00 90.00
Space group P4/mmm (No. 123)
Asymmetric unit:
Rb: 0.0000 0.0000 0.0000 (multiplicity 1)
Rb: 0.0000 0.5000 0.2464 (multiplicity 4)
Cd: 0.0000 0.0000 0.5000 (multiplicity 1)
Se: 0.5000 0.5000 0.0000 (multiplicity 1)
O: 0.0000 0.0000 0.2908 (multiplicity 2)

***

Here is a relaxed Re2PtRh crystal from the Alexandria database. Energies are from PBE.

Results
E above lowest polymorph, meV/atom: 104
Formation energy, eV/atom: -0.0189
Magnetic moment, μB per cell: 0.00
Density of states at the Fermi level, states/eV/cell: 7.6
Mass density, Mg/m³: 18.81

a b c (Å): 5.4181 8.0677 2.7075
angles (deg): 90.00 90.00 90.00
Space group Cmmm (No. 65)
Asymmetric unit:
Re: 0.2500 0.2500 0.0000 (multiplicity 4)
Pt: 0.0000 0.0000 0.5000 (multiplicity 2)
Rh: 0.0000 0.5000 0.5000 (multiplicity 2)

***

Here is a relaxed Cd5CuPd crystal from the Alexandria database. Energies are from PBE.

Results
Formation energy, eV/atom: 0.0179
Magnetic moment, μB per cell: 0.00
Density of states at the Fermi level, states/eV/cell: 7.5
Mass density, Mg/m³: 8.18

a b c (Å): 9.8681 9.5815 7.5236
angles (deg): 90.00 123.29 90.00
Space group C2/c (No. 15)
Asymmetric unit:
Cd: 0.0000 0.0748 0.2500 (multiplicity 4)
Cd: 0.0514 0.3553 0.0943 (multiplicity 8)
Cd: 0.2419 0.4109 0.8738 (multiplicity 8)
Cu: 0.2500 0.2500 0.5000 (multiplicity 4)
Pd: 0.0000 0.2080 0.7500 (multiplicity 4)

***

Here is a relaxed NiHOs crystal from the Alexandria database. Energies are from PBE.

Results
E above lowest polymorph, meV/atom: 6
Magnetic moment, μB per cell: 0.00
Density of states at the Fermi level, states/eV/cell: 2.8
Mass density, Mg/m³: 14.47

a b c (Å): 2.7598 5.4963 3.7813
angles (deg): 90.00 90.00 90.00
Space group Pmn2_1 (No. 31)
Asymmetric unit:
Ni: 0.0000 0.1347 0.0000 (multiplicity 2)
H: 0.0000 0.8901 0.7520 (multiplicity 2)
Os: 0.0000 0.6042 0.0139 (multiplicity 2)

***

Here is a relaxed Cs5Hf2Te6 crystal from the Alexandria database. Energies are from PBE.

Results
Formation energy without anion corrections, eV/atom: -1.020
Magnetic moment, μB per cell: 4.00
Mass density, Mg/m³: 4.22

a b c (Å): 15.0625 9.5982 19.9244
angles (deg): 90.00 102.61 90.00
Space group C2/c (No. 15)
Asymmetric unit:
Cs: 0.0000 0.1290 0.2500 (multiplicity 4)
Cs: 0.0586 0.2415 0.9988 (multiplicity 8)
Cs: 0.1607 0.4023 0.7273 (multiplicity 8)
Hf: 0.2291 0.3541 0.4321 (multiplicity 8)
Te: 0.0600 0.4486 0.3732 (multiplicity 8)
Te: 0.1429 0.0514 0.6356 (multiplicity 8)
Te: 0.2225 0.0601 0.4298 (multiplicity 8)

***

Here is a relaxed AlGaPRh2 crystal from the Alexandria database. Energies are from PBE.

Results
E above lowest polymorph, meV/atom: 485
Formation energy, eV/atom: 0.6573
Magnetic moment, μB per cell: 0.00
Density of states at the Fermi level, states/eV/cell: 4.1
Mass density, Mg/m³: 5.94

a b c (Å): 4.6048 4.6048 4.3953
angles (deg): 90.00 90.00 90.00
Space group P4/mmm (No. 123)
Asymmetric unit:
Al: 0.0000 0.0000 0.0000 (multiplicity 1)
Ga: 0.5000 0.5000 0.5000 (multiplicity 1)
P: 0.5000 0.5000 0.0000 (multiplicity 1)
Rh: 0.0000 0.5000 0.5000 (multiplicity 2)

***

Here is a relaxed K2BeBr crystal from the Alexandria database. Energies are from PBE.

Results
E above lowest polymorph, meV/atom: 53
Formation energy without anion corrections, eV/atom: -0.149
Magnetic moment, μB per cell: 0.00
Density of states at the Fermi level, states/eV/cell: 4.7
Mass density, Mg/m³: 1.79

a b c (Å): 4.0935 4.3062 17.5607
angles (deg): 90.00 90.00 90.00
Space group Imm2 (No. 44)
Asymmetric unit:
K: 0.0000 0.0000 0.0000 (multiplicity 2)
K: 0.0000 0.5000 0.2334 (multiplicity 2)
Be: 0.0000 0.5000 0.8388 (multiplicity 2)
Br: 0.0000 0.0000 0.5843 (multiplicity 2)

***

Here is a relaxed Be2InPt crystal from the Alexandria database. Energies are from PBE.

Results
Formation energy, eV/atom: -0.1062
Magnetic moment, μB per cell: 0.00
Density of states at the Fermi level, states/eV/cell: 1.6
Mass density, Mg/m³: 10.10

a b c (Å): 3.9082 3.9082 7.0574
angles (deg): 90.00 90.00 90.00
Space group I4/mmm (No. 139)
Asymmetric unit:
Be: 0.0000 0.5000 0.2500 (multiplicity 4)
In: 0.0000 0.0000 0.0000 (multiplicity 2)
Pt: 0.0000 0.0000 0.5000 (multiplicity 2)

***

Here is a relaxed SrPAuCl2 crystal from the Alexandria database. Energies are from PBE.

Results
E above lowest polymorph, meV/atom: 0
Formation energy without anion corrections, eV/atom: -0.550
Magnetic moment, μB per cell: 1.10
Density of states at the Fermi level, states/eV/cell: 3.1
Mass density, Mg/m³: 4.82

a b c (Å): 5.2586 5.2586 4.8154
angles (deg): 90.00 90.00 90.00
Space group P4/mmm (No. 123)
Asymmetric unit:
Sr: 0.0000 0.0000 0.0000 (multiplicity 1)
P: 0.5000 0.5000 0.0000 (multiplicity 1)
Au: 0.5000 0.5000 0.5000 (multiplicity 1)
Cl: 0.0000 0.5000 0.5000 (multiplicity 2)

***

Here is a relaxed Ac6Sn2Te3Pb crystal from the Alexandria database. Energies are from PBE.

Results
Formation energy without anion corrections, eV/atom: -1.112
Magnetic moment, μB per cell: 0.00
Density of states at the Fermi level, states/eV/cell: 8.4
Mass density, Mg/m³: 7.66

a b c (Å): 20.9769 4.8256 9.6258
angles (deg): 90.00 103.05 90.00
Space group C2/m (No. 12)
Asymmetric unit:
Ac: 0.0030 0.0000 0.2455 (multiplicity 4)
Ac: 0.1649 0.5000 0.0917 (multiplicity 4)
Ac: 0.1698 0.5000 0.5759 (multiplicity 4)
Sn: 0.1666 0.0000 0.3335 (multiplicity 4)
Te: 0.0000 0.5000 0.5000 (multiplicity 2)
Te: 0.1665 0.0000 0.8332 (multiplicity 4)
Pb: 0.0000 0.5000 0.0000 (multiplicity 2)

***

Here is a relaxed Tm8Zn2Co crystal from the Alexandria database. Energies are from PBE.

Results
E above lowest polymorph, meV/atom: 0
Formation energy, eV/atom: -0.1506
Magnetic moment, μB per cell: 0.00
Density of states at the Fermi level, states/eV/cell: 16.7
Mass density, Mg/m³: 9.39

a b c (Å): 16.9974 5.0959 6.6209
angles (deg): 90.00 108.06 90.00
Space group C2/m (No. 12)
Asymmetric unit:
Tm: 0.0257 0.0000 0.2878 (multiplicity 4)
Tm: 0.0898 0.5000 0.9285 (multiplicity 4)
Tm: 0.1557 0.5000 0.4620 (multiplicity 4)
Tm: 0.2001 0.0000 0.8066 (multiplicity 4)
Zn: 0.1850 0.0000 0.2178 (multiplicity 4)
Co: 0.0000 0.5000 0.5000 (multiplicity 2)

***

Here is a relaxed Rb2Pm2NpO6 crystal from the Alexandria database. Energies are from PBE.

Results
Formation energy without anion corrections, eV/atom: -2.709
Magnetic moment, μB per cell: 6.00
Density of states at the Fermi level, states/eV/cell: 19.8
Mass density, Mg/m³: 5.90

a b c (Å): 6.2088 10.7369 7.0020
angles (deg): 90.00 106.79 90.00
Space group C2/m (No. 12)
Asymmetric unit:
Rb: 0.0000 0.1671 0.0000 (multiplicity 4)
Pm: 0.0000 0.3339 0.5000 (multiplicity 4)
Np: 0.0000 0.0000 0.5000 (multiplicity 2)
O: 0.2106 0.1632 0.6667 (multiplicity 8)
O: 0.2462 0.5000 0.6654 (multiplicity 4)

***

Here is a relaxed AcTb4Ho8 crystal from the Alexandria database. Energies are from PBE.

Results
Formation energy, eV/atom: 0.1048
Magnetic moment, μB per cell: 0.00
Density of states at the Fermi level, states/eV/cell: 37.5
Mass density, Mg/m³: 8.51

a b c (Å): 10.1348 7.0094 12.3839
angles (deg): 90.00 104.66 90.00
Space group C2/m (No. 12)
Asymmetric unit:
Ac: 0.0000 0.0000 0.0000 (multiplicity 2)
Tb: 0.0000 0.2581 0.5000 (multiplicity 4)
Tb: 0.2165 0.5000 0.3552 (multiplicity 4)
Ho: 0.0895 0.2640 0.7886 (multiplicity 8)
Ho: 0.1509 0.5000 0.0634 (multiplicity 4)
Ho: 0.1928 0.0000 0.3461 (multiplicity 4)

***

Here is a relaxed PmDy2Y5 crystal from the Alexandria database. Energies are from PBE.

Results
E above lowest polymorph, meV/atom: 0
Formation energy, eV/atom: 0.0191
Magnetic moment, μB per cell: 0.00
Density of states at the Fermi level, states/eV/cell: 20.2
Mass density, Mg/m³: 5.89

a b c (Å): 7.1519 14.3117 5.0414
angles (deg): 90.00 90.00 90.00
Space group Pbam (No. 55)
Asymmetric unit:
Pm: 0.0000 0.0000 0.0000 (multiplicity 2)
Dy: 0.2500 0.1252 0.5000 (multiplicity 4)
Y: 0.0002 0.2502 0.0000 (multiplicity 4)
Y: 0.0000 0.5000 0.0000 (multiplicity 2)
Y: 0.2503 0.3747 0.5000 (multiplicity 4)

***

Here is a relaxed TaTeCl crystal from the Alexandria database. Energies are from PBE.

Results
E above lowest polymorph, meV/atom: 592
Formation energy without anion corrections, eV/atom: -0.141
Magnetic moment, μB per cell: 0.00
Density of states at the Fermi level, states/eV/cell: 6.8
Mass density, Mg/m³: 6.19

a b c (Å): 4.8312 4.6264 8.2598
angles (deg): 90.00 90.00 90.00
Space group Amm2 (No. 38)
Asymmetric unit:
Ta: 0.0000 0.0000 0.0000 (multiplicity 2)
Te: 0.0000 0.0000 0.6704 (multiplicity 2)
Cl: 0.5000 0.0000 0.9979 (multiplicity 2)

***

Here is a relaxed Rb2BaSiSe crystal from the Alexandria database. Energies are from PBE.

Results
Formation energy without anion corrections, eV/atom: 0.358
Magnetic moment, μB per cell: 2.22
Density of states at the Fermi level, states/eV/cell: 1.0
Mass density, Mg/m³: 1.82

a b c (Å): 8.0336 8.0336 5.8810
angles (deg): 90.00 90.00 90.00
Space group P4/mmm (No. 123)
Asymmetric unit:
Rb: 0.0000 0.5000 0.0000 (multiplicity 2)
Ba: 0.0000 0.0000 0.0000 (multiplicity 1)
Si: 0.5000 0.5000 0.5000 (multiplicity 1)
Se: 0.0000 0.0000 0.5000 (multiplicity 1)

***

Here is a relaxed NaTiI3 crystal from the Alexandria database. Energies are from PBE.

Results
Formation energy without anion corrections, eV/atom: -0.650
Magnetic moment, μB per cell: 2.00
Density of states at the Fermi level, states/eV/cell: 7.5
Mass density, Mg/m³: 3.96

a b c (Å): 5.7407 5.7407 5.7407
angles (deg): 90.00 90.00 90.00
Space group Pm-3m (No. 221)
Asymmetric unit:
Na: 0.0000 0.0000 0.0000 (multiplicity 1)
Ti: 0.5000 0.5000 0.5000 (multiplicity 1)
I: 0.0000 0.5000 0.5000 (multiplicity 3)

***

Here is a relaxed NaGaNi2S crystal from the Alexandria database. Energies are from PBE.

Results
Formation energy without anion corrections, eV/atom: 0.086
Magnetic moment, μB per cell: 0.00
Density of states at the Fermi level, states/eV/cell: 1.5
Mass density, Mg/m³: 4.30

a b c (Å): 4.1988 4.1988 5.3068
angles (deg): 90.00 90.00 90.00
Space group P4/mmm (No. 123)
Asymmetric unit:
Na: 0.0000 0.0000 0.0000 (multiplicity 1)
Ga: 0.5000 0.5000 0.0000 (multiplicity 1)
Ni: 0.0000 0.5000 0.5000 (multiplicity 2)
S: 0.5000 0.5000 0.5000 (multiplicity 1)

***

Here is a relaxed Ca2Al4InPt3 crystal from the Alexandria database. Energies are from PBE.

Results
Formation energy, eV/atom: -0.8320
Magnetic moment, μB per cell: 0.00
Density of states at the Fermi level, states/eV/cell: 3.3
Mass density, Mg/m³: 7.42

a b c (Å): 4.2481 4.2481 11.0203
angles (deg): 90.00 90.00 90.00
Space group P-4m2 (No. 115)
Asymmetric unit:
Ca: 0.0000 0.5000 0.2425 (multiplicity 2)
Al: 0.0000 0.0000 0.0000 (multiplicity 1)
Al: 0.0000 0.5000 0.6473 (multiplicity 2)
Al: 0.5000 0.5000 0.0000 (multiplicity 1)
In: 0.0000 0.0000 0.5000 (multiplicity 1)
Pt: 0.0000 0.5000 0.8732 (multiplicity 2)
Pt: 0.5000 0.5000 0.5000 (multiplicity 1)

***

Here is a relaxed BeP2Os crystal from the Alexandria database. Energies are from PBE.

Results
Formation energy, eV/atom: 0.0735
Magnetic moment, μB per cell: 0.00
Density of states at the Fermi level, states/eV/cell: 1.8
Mass density, Mg/m³: 7.72

a b c (Å): 7.8275 3.0498 4.7148
angles (deg): 90.00 93.69 90.00
Space group Cm (No. 8)
Asymmetric unit:
Be: 0.0000 0.0000 0.0000 (multiplicity 2)
P: 0.0790 0.5000 0.3776 (multiplicity 2)
P: 0.2605 0.5000 0.7765 (multiplicity 2)
Os: 0.2799 0.0000 0.1649 (multiplicity 2)